1.
The following is a PBE calculation of Fe2Mo after structural relaxation, from the Alexandria database.

Lattice parameters (Å, degrees): 9.308 3.004 5.888 90.00 107.80 90.00
Atoms (fractional coordinates):
1 Fe 0.001 0.000 0.236
2 Fe 0.164 0.500 0.075
3 Fe 0.336 0.000 0.925
4 Fe 0.499 0.500 0.764
5 Fe 0.501 0.500 0.236
6 Fe 0.664 0.000 0.075
7 Fe 0.836 0.500 0.925
8 Fe 0.999 0.000 0.764
9 Mo 0.166 0.500 0.591
10 Mo 0.334 0.000 0.409
11 Mo 0.666 0.000 0.591
12 Mo 0.834 0.500 0.409

Calculated values
- ΔH_f (0 K) (eV/f.u.) = 0.277
- symmetry = No. 12

***

2.
The following is a PBE calculation of Y2ZnTeRh after structural relaxation, from the Alexandria database.

Lattice parameters (Å, degrees): 5.415 5.415 4.515 90.00 90.00 90.00
Atoms (fractional coordinates):
1 Y 0.000 0.500 0.000
2 Y 0.500 0.000 0.000
3 Zn 0.000 0.000 0.000
4 Te 0.500 0.500 0.500
5 Rh 0.000 0.000 0.500

Calculated values
- raw total energy (eV/cell) = -25.5
- symmetry = No. 123

***

3.
The following is a PBE calculation of Mo7W5 after structural relaxation, from the Alexandria database.

Lattice parameters (Å, degrees): 6.924 6.924 8.970 90.02 90.02 26.48
Atoms (fractional coordinates):
1 Mo 0.000 0.000 0.000
2 Mo 0.167 0.167 0.250
3 Mo 0.333 0.333 0.500
4 Mo 0.500 0.500 0.250
5 Mo 0.500 0.500 0.750
6 Mo 0.667 0.667 0.500
7 Mo 0.833 0.833 0.750
8 W 0.000 0.000 0.500
9 W 0.167 0.167 0.750
10 W 0.333 0.333 0.000
11 W 0.667 0.667 0.000
12 W 0.833 0.833 0.250

Calculated values
- ΔH_f (0 K) (eV/f.u.) = -0.107
- symmetry = No. 12

***

4.
The following is a PBE calculation of Th4In5Sn after structural relaxation, from the Alexandria database.

Lattice parameters (Å, degrees): 7.073 10.530 8.042 90.00 90.00 90.00
Atoms (fractional coordinates):
1 Th 0.005 0.250 0.200
2 Th 0.250 0.562 0.498
3 Th 0.250 0.938 0.498
4 Th 0.495 0.250 0.200
5 Th 0.505 0.750 0.800
6 Th 0.750 0.062 0.502
7 Th 0.750 0.438 0.502
8 Th 0.995 0.750 0.800
9 In 0.043 0.062 0.837
10 In 0.043 0.438 0.837
11 In 0.250 0.750 0.152
12 In 0.457 0.062 0.837
13 In 0.457 0.438 0.837
14 In 0.543 0.562 0.163
15 In 0.543 0.938 0.163
16 In 0.750 0.250 0.848
17 In 0.957 0.562 0.163
18 In 0.957 0.938 0.163
19 Sn 0.250 0.250 0.551
20 Sn 0.750 0.750 0.449

Calculated values
- ΔH_f (0 K) (eV/f.u.) = -0.642
- symmetry = No. 59

***

5.
The following is a PBE calculation of LaCeZr2 after structural relaxation, from the Alexandria database.

Lattice parameters (Å, degrees): 3.968 3.968 27.274 90.00 90.00 120.00
Atoms (fractional coordinates):
1 La 0.000 0.000 0.000
2 La 0.333 0.667 0.667
3 La 0.667 0.333 0.333
4 Ce 0.000 0.000 0.500
5 Ce 0.333 0.667 0.167
6 Ce 0.667 0.333 0.833
7 Zr 0.000 0.000 0.115
8 Zr 0.000 0.000 0.885
9 Zr 0.333 0.667 0.552
10 Zr 0.333 0.667 0.782
11 Zr 0.667 0.333 0.218
12 Zr 0.667 0.333 0.448

Calculated values
- ΔH_f (0 K) (eV/f.u.) = 4.596
- symmetry = No. 166

***

6.
The following is a PBE calculation of Y3Zn2Cu7 after structural relaxation, from the Alexandria database.

Lattice parameters (Å, degrees): 8.843 8.843 8.843 34.50 34.50 34.50
Atoms (fractional coordinates):
1 Y 0.000 0.000 0.000
2 Y 0.142 0.142 0.142
3 Y 0.858 0.858 0.858
4 Zn 0.333 0.333 0.333
5 Zn 0.667 0.667 0.667
6 Cu 0.083 0.583 0.583
7 Cu 0.417 0.417 0.917
8 Cu 0.417 0.917 0.417
9 Cu 0.500 0.500 0.500
10 Cu 0.583 0.083 0.583
11 Cu 0.583 0.583 0.083
12 Cu 0.917 0.417 0.417

Calculated values
- ΔH_f (0 K) (eV/f.u.) = -2.859
- symmetry = No. 166